Record 1
Compound: CrCu2Br6
Source: Alexandria via LeMat-Bulk
Functional: PBE-GGA
Structure: relaxed

As for the density: 4.0 g/cm³. The total energy comes out at -0.263 Ry per atom. For the density of states at the Fermi level, the calculation gives 0.54 states/eV per atom.

It has space group C2/c (No. 15), with a = 14.3662 Å, b = 12.2420 Å, c = 6.5136 Å, α = 90.00°, β = 107.36° and γ = 90.00°. The inequivalent atoms are Cr at (0.0000, 0.0766, 0.2500), Cu at (0.0722, 0.4014, 0.1640), Br at (0.1028, 0.0677, 0.6383), Br at (0.1123, 0.4215, 0.5610) and Br at (0.1140, 0.2142, 0.1654).

Record 2
Compound: CrCu2Br
Source: Alexandria via LeMat-Bulk
Functional: PBE-GGA
Structure: relaxed

As for the density: 6.3 g/cm³. The total energy comes out at -0.316 Ry per atom. For the density of states at the Fermi level, the calculation gives 0.58 states/eV per atom.

It has space group I-42d (No. 122), with a = 7.3594 Å, b = 7.3594 Å, c = 5.0309 Å, α = 90.00°, β = 90.00° and γ = 90.00°. The inequivalent atoms are Cr at (0.0000, 0.0000, 0.0000), Cu at (0.2451, 0.2500, 0.6250) and Br at (0.0000, 0.0000, 0.5000).

Record 3
Compound: CrCuBr2
Source: Alexandria via LeMat-Bulk
Functional: PBE-GGA
Structure: relaxed

As for the density: 4.8 g/cm³. The total energy comes out at -0.315 Ry per atom. For the density of states at the Fermi level, the calculation gives 0.67 states/eV per atom.

It has space group C2/m (No. 12), with a = 12.1267 Å, b = 3.6387 Å, c = 4.3727 Å, α = 90.00°, β = 100.50° and γ = 90.00°. The inequivalent atoms are Cr at (0.0000, 0.0000, 0.0000), Cu at (0.0000, 0.5000, 0.5000) and Br at (0.1467, 0.5000, 0.1842).

Record 4
Compound: CrCu2Br
Source: Alexandria via LeMat-Bulk
Functional: PBE-GGA
Structure: relaxed

As for the density: 6.4 g/cm³. The total energy comes out at -0.328 Ry per atom. For the density of states at the Fermi level, the calculation gives 0.33 states/eV per atom.

It has space group P4/mmm (No. 123), with a = 3.4187 Å, b = 3.4187 Å, c = 5.7896 Å, α = 90.00°, β = 90.00° and γ = 90.00°. The inequivalent atoms are Cr at (0.0000, 0.0000, 0.0000), Cu at (0.5000, 0.5000, 0.2073) and Br at (0.0000, 0.0000, 0.5000).

Record 5
Compound: CrCu2Br
Source: Alexandria via LeMat-Bulk
Functional: PBE-GGA
Structure: relaxed

As for the density: 6.6 g/cm³. The total energy comes out at -0.313 Ry per atom. For the density of states at the Fermi level, the calculation gives 0.60 states/eV per atom.

It has space group I-4m2 (No. 119), with a = 3.9208 Å, b = 3.9208 Å, c = 8.4402 Å, α = 90.00°, β = 90.00° and γ = 90.00°. The inequivalent atoms are Cr at (0.0000, 0.0000, 0.0000), Cu at (0.0000, 0.0000, 0.5000), Cu at (0.0000, 0.5000, 0.7500) and Br at (0.0000, 0.5000, 0.2500).

Record 6
Compound: CrCu2Br
Source: Alexandria via LeMat-Bulk
Functional: PBE-GGA
Structure: relaxed

As for the density: 6.2 g/cm³. The total energy comes out at -0.333 Ry per atom. For the density of states at the Fermi level, the calculation gives 0.84 states/eV per atom.

It has space group P4mm (No. 99), with a = 3.2746 Å, b = 3.2746 Å, c = 6.4427 Å, α = 90.00°, β = 90.00° and γ = 90.00°. The inequivalent atoms are Cr at (0.0000, 0.0000, 0.0000), Cu at (0.0000, 0.0000, 0.3883), Cu at (0.5000, 0.5000, 0.2409) and Br at (0.5000, 0.5000, 0.7531).